RuS4 | PBE-GGA | relaxed

Cell: 4.5790 4.5790 4.5790 Å, 90.00 90.00 90.00°
Atoms (fractional coordinates):
S: 0.0000 0.5000 0.5000
S: 0.5000 0.5000 0.0000
Ru: 0.5000 0.5000 0.5000
S: 0.5000 0.0000 0.5000
S: 0.0000 0.0000 0.0000

Values from the calculation:
crystal system	cubic
electronic total energy	-4.421	eV per atom
formation energy (no corrections)	0.736	eV/atom